DFT (PBE) results for an optimized crystal structure of CsBeNb.

raw total energy	-3.10	eV/atom
magnetic moment	0.0	μB per formula unit
distance to the lowest polymorph of the same formula	1380	meV per atom
calculated formation energy	1.78	eV per atom
Fermi-level density of states	4.39	states/eV per cell

a = 5.1257 Å, b = 5.1257 Å, c = 5.8740 Å
α = 90.00°, β = 90.00°, γ = 120.00°
Last column: nearest neighbours and their distance in Å.
Space group P6_3mc (No. 186)
Asymmetric unit:
Cs1 0.0000 0.0000 0.0000 x2  2 Cs 2.94, 3 Nb 2.98, 3 Be 3.01
Be1 0.3333 0.6667 0.0977 x2  4 Nb 2.74-2.97, 3 Cs 3.01
Nb1 0.3333 0.6667 0.5641 x2  4 Be 2.74-2.97, 3 Cs 2.98